Compound: Ni2RhCl
Source: the Alexandria database
Functional: PBE
Structure: optimized geometry

POSCAR file:
```
Ni2RhCl
1.0
0.0000 3.0081 3.0081
3.0081 0.0000 3.0081
3.0081 3.0081 0.0000
Ni Rh Cl
2 1 1
Cartesian
0.0000 0.0000 0.0000
1.5041 1.5041 1.5041
4.5122 4.5122 4.5122
3.0081 3.0081 3.0081
```

Properties
Formation energy without anion corrections   633.0 meV/atom
Fermi-level density of states   7.6 states/eV per cell


Compound: HfFe2Au
Source: the Alexandria database
Functional: PBE
Structure: optimized geometry

POSCAR file:
```
HfFe2Au
1.0
-1.9328 1.9328 9.0309
1.9328 -1.9328 9.0309
1.9328 1.9328 -9.0309
Hf Fe Au
2 4 2
Cartesian
0.0000 0.0000 0.0000
0.0000 1.9328 4.5155
0.9664 -0.5815 6.7732
1.3513 0.9664 2.2577
0.9664 2.5142 -2.2577
0.5815 0.9664 11.2887
1.9328 0.0000 4.5155
0.0000 0.0000 9.0309
```

Properties
DFT formation energy   490 meV per atom
Fermi-level density of states   10.6 states/eV per cell